No. 1
BaSr2Mn: optimized geometry, GGA-PBE.

Structure (CIF):
```
data_BaSr2Mn
_chemical_formula_sum 'Ba1 Sr2 Mn1'
_space_group_name_H-M_alt 'P 1'
_space_group_IT_number 1
_space_group_name_Hall 'P 1'
_cell_length_a 7.515
_cell_length_b 7.515
_cell_length_c 7.515
_cell_angle_alpha 147.57
_cell_angle_beta 130.12
_cell_angle_gamma 60.76
loop_
_atom_site_label
_atom_site_type_symbol
_atom_site_fract_x
_atom_site_fract_y
_atom_site_fract_z
Ba1 Ba 0.451 0.451 0.000
Mn1 Mn 0.247 0.747 0.500
Sr1 Sr 0.050 0.050 0.000
Sr2 Sr 0.752 0.252 0.500
```

Values from the calculation:
Formation energy from the elements, meV/atom: 384
Excess energy over the best structure of this formula in the dataset, meV per atom: 66
Total energy, eV per atom: -3.230

No. 2
BaSrMn4: optimized geometry, GGA-PBE.

Structure (CIF):
```
data_BaSrMn4
_chemical_formula_sum 'Ba1 Sr1 Mn4'
_space_group_name_H-M_alt 'P 1'
_space_group_IT_number 1
_space_group_name_Hall 'P 1'
_cell_length_a 5.875
_cell_length_b 5.875
_cell_length_c 5.875
_cell_angle_alpha 60.00
_cell_angle_beta 60.00
_cell_angle_gamma 60.00
loop_
_atom_site_label
_atom_site_type_symbol
_atom_site_fract_x
_atom_site_fract_y
_atom_site_fract_z
Sr1 Sr 0.750 0.750 0.750
Mn1 Mn 0.385 0.845 0.385
Mn2 Mn 0.385 0.385 0.385
Mn3 Mn 0.845 0.385 0.385
Mn4 Mn 0.385 0.385 0.845
Ba1 Ba 0.000 0.000 0.000
```

Values from the calculation:
Formation energy from the elements, meV/atom: 703
Total energy, eV per atom: -6.011

No. 3
BaSr2Mn: optimized geometry, GGA-PBE.

Structure (CIF):
```
data_BaSr2Mn
_chemical_formula_sum 'Ba1 Sr2 Mn1'
_space_group_name_H-M_alt 'P 1'
_space_group_IT_number 1
_space_group_name_Hall 'P 1'
_cell_length_a 6.226
_cell_length_b 6.226
_cell_length_c 6.226
_cell_angle_alpha 119.91
_cell_angle_beta 119.91
_cell_angle_gamma 90.16
loop_
_atom_site_label
_atom_site_type_symbol
_atom_site_fract_x
_atom_site_fract_y
_atom_site_fract_z
Mn1 Mn 0.750 0.250 0.500
Sr1 Sr 0.000 0.000 0.000
Sr2 Sr 0.250 0.750 0.500
Ba1 Ba 0.500 0.500 0.000
```

Values from the calculation:
Formation energy from the elements, meV/atom: 464
Excess energy over the best structure of this formula in the dataset, meV per atom: 146
Total energy, eV per atom: -3.150

No. 4
BaSr2Mn: optimized geometry, GGA-PBE.

Structure (CIF):
```
data_BaSr2Mn
_chemical_formula_sum 'Ba1 Sr2 Mn1'
_space_group_name_H-M_alt 'P 1'
_space_group_IT_number 1
_space_group_name_Hall 'P 1'
_cell_length_a 4.089
_cell_length_b 4.089
_cell_length_c 10.402
_cell_angle_alpha 90.00
_cell_angle_beta 90.00
_cell_angle_gamma 89.97
loop_
_atom_site_label
_atom_site_type_symbol
_atom_site_fract_x
_atom_site_fract_y
_atom_site_fract_z
Sr1 Sr 0.000 0.000 0.931
Sr2 Sr 0.000 0.000 0.569
Mn1 Mn 0.500 0.500 0.750
Ba1 Ba 0.500 0.500 0.250
```

Values from the calculation:
Formation energy from the elements, meV/atom: 328
Excess energy over the best structure of this formula in the dataset, meV per atom: 10
Total energy, eV per atom: -3.286

No. 5
Ba2Sr2Mn: optimized geometry, GGA-PBE.

Structure (CIF):
```
data_Ba2Sr2Mn
_chemical_formula_sum 'Ba2 Sr2 Mn1'
_space_group_name_H-M_alt 'P 1'
_space_group_IT_number 1
_space_group_name_Hall 'P 1'
_cell_length_a 11.259
_cell_length_b 11.259
_cell_length_c 11.259
_cell_angle_alpha 155.34
_cell_angle_beta 155.34
_cell_angle_gamma 35.15
loop_
_atom_site_label
_atom_site_type_symbol
_atom_site_fract_x
_atom_site_fract_y
_atom_site_fract_z
Sr1 Sr 0.585 0.585 0.000
Sr2 Sr 0.415 0.415 0.000
Ba1 Ba 0.250 0.750 0.500
Ba2 Ba 0.750 0.250 0.500
Mn1 Mn 0.000 0.000 0.000
```

Values from the calculation:
Formation energy from the elements, meV/atom: 708
Total energy, eV per atom: -2.568

No. 6
BaSr2Mn: optimized geometry, GGA-PBE.

Structure (CIF):
```
data_BaSr2Mn
_chemical_formula_sum 'Ba1 Sr2 Mn1'
_space_group_name_H-M_alt 'P 1'
_space_group_IT_number 1
_space_group_name_Hall 'P 1'
_cell_length_a 11.964
_cell_length_b 11.964
_cell_length_c 11.964
_cell_angle_alpha 20.49
_cell_angle_beta 20.49
_cell_angle_gamma 20.49
loop_
_atom_site_label
_atom_site_type_symbol
_atom_site_fract_x
_atom_site_fract_y
_atom_site_fract_z
Sr1 Sr 0.022 0.022 0.022
Sr2 Sr 0.478 0.478 0.478
Mn1 Mn 0.750 0.750 0.750
Ba1 Ba 0.250 0.250 0.250
```

Values from the calculation:
Formation energy from the elements, meV/atom: 424
Excess energy over the best structure of this formula in the dataset, meV per atom: 106
Total energy, eV per atom: -3.190

No. 7
BaSr2Mn: optimized geometry, GGA-PBE.

Structure (CIF):
```
data_BaSr2Mn
_chemical_formula_sum 'Ba1 Sr2 Mn1'
_space_group_name_H-M_alt 'P 1'
_space_group_IT_number 1
_space_group_name_Hall 'P 1'
_cell_length_a 7.601
_cell_length_b 7.601
_cell_length_c 6.439
_cell_angle_alpha 64.97
_cell_angle_beta 64.97
_cell_angle_gamma 31.80
loop_
_atom_site_label
_atom_site_type_symbol
_atom_site_fract_x
_atom_site_fract_y
_atom_site_fract_z
Mn1 Mn 0.250 0.250 0.250
Ba1 Ba 0.750 0.750 0.750
Sr1 Sr 0.949 0.949 0.051
Sr2 Sr 0.551 0.551 0.449
```

Values from the calculation:
Formation energy from the elements, meV/atom: 365
Excess energy over the best structure of this formula in the dataset, meV per atom: 46
Total energy, eV per atom: -3.249

No. 8
BaSr2Mn: optimized geometry, GGA-PBE.

Structure (CIF):
```
data_BaSr2Mn
_chemical_formula_sum 'Ba1 Sr2 Mn1'
_space_group_name_H-M_alt 'P 1'
_space_group_IT_number 1
_space_group_name_Hall 'P 1'
_cell_length_a 5.401
_cell_length_b 5.401
_cell_length_c 5.981
_cell_angle_alpha 90.00
_cell_angle_beta 90.00
_cell_angle_gamma 90.00
loop_
_atom_site_label
_atom_site_type_symbol
_atom_site_fract_x
_atom_site_fract_y
_atom_site_fract_z
Ba1 Ba 0.500 0.000 0.500
Mn1 Mn 0.000 0.500 0.500
Sr1 Sr 0.500 0.500 0.000
Sr2 Sr 0.000 0.000 0.000
```

Values from the calculation:
Formation energy from the elements, meV/atom: 466
Excess energy over the best structure of this formula in the dataset, meV per atom: 148
Total energy, eV per atom: -3.148

No. 9
BaSr2Mn: optimized geometry, GGA-PBE.

Structure (CIF):
```
data_BaSr2Mn
_chemical_formula_sum 'Ba1 Sr2 Mn1'
_space_group_name_H-M_alt 'P 1'
_space_group_IT_number 1
_space_group_name_Hall 'P 1'
_cell_length_a 6.134
_cell_length_b 6.134
_cell_length_c 6.134
_cell_angle_alpha 60.00
_cell_angle_beta 60.00
_cell_angle_gamma 60.00
loop_
_atom_site_label
_atom_site_type_symbol
_atom_site_fract_x
_atom_site_fract_y
_atom_site_fract_z
Sr1 Sr 0.250 0.250 0.250
Sr2 Sr 0.750 0.750 0.750
Ba1 Ba 0.500 0.500 0.500
Mn1 Mn 0.000 0.000 0.000
```

Values from the calculation:
Formation energy from the elements, meV/atom: 452
Excess energy over the best structure of this formula in the dataset, meV per atom: 134
Total energy, eV per atom: -3.162

No. 10
BaSrMn: optimized geometry, GGA-PBE.

Structure (CIF):
```
data_BaSrMn
_chemical_formula_sum 'Ba1 Sr1 Mn1'
_space_group_name_H-M_alt 'P 1'
_space_group_IT_number 1
_space_group_name_Hall 'P 1'
_cell_length_a 4.313
_cell_length_b 4.313
_cell_length_c 8.123
_cell_angle_alpha 90.00
_cell_angle_beta 90.00
_cell_angle_gamma 120.00
loop_
_atom_site_label
_atom_site_type_symbol
_atom_site_fract_x
_atom_site_fract_y
_atom_site_fract_z
Mn1 Mn 0.667 0.333 0.336
Ba1 Ba 0.000 0.000 0.068
Sr1 Sr 0.333 0.667 0.596
```

Values from the calculation:
Formation energy from the elements, meV/atom: 555
Excess energy over the best structure of this formula in the dataset, meV per atom: 132
Total energy, eV per atom: -3.704

No. 11
BaSrMn: optimized geometry, GGA-PBE.

Structure (CIF):
```
data_BaSrMn
_chemical_formula_sum 'Ba1 Sr1 Mn1'
_space_group_name_H-M_alt 'P 1'
_space_group_IT_number 1
_space_group_name_Hall 'P 1'
_cell_length_a 7.737
_cell_length_b 7.736
_cell_length_c 4.100
_cell_angle_alpha 74.65
_cell_angle_beta 74.61
_cell_angle_gamma 30.73
loop_
_atom_site_label
_atom_site_type_symbol
_atom_site_fract_x
_atom_site_fract_y
_atom_site_fract_z
Ba1 Ba 0.969 0.969 0.031
Mn1 Mn 0.330 0.330 0.670
Sr1 Sr 0.701 0.701 0.299
```

Values from the calculation:
Formation energy from the elements, meV/atom: 422
Excess energy over the best structure of this formula in the dataset, meV per atom: 0
Total energy, eV per atom: -3.836

No. 12
BaSr4Mn: optimized geometry, GGA-PBE.

Structure (CIF):
```
data_BaSr4Mn
_chemical_formula_sum 'Ba1 Sr4 Mn1'
_space_group_name_H-M_alt 'P 1'
_space_group_IT_number 1
_space_group_name_Hall 'P 1'
_cell_length_a 7.653
_cell_length_b 7.653
_cell_length_c 7.653
_cell_angle_alpha 60.00
_cell_angle_beta 60.00
_cell_angle_gamma 60.00
loop_
_atom_site_label
_atom_site_type_symbol
_atom_site_fract_x
_atom_site_fract_y
_atom_site_fract_z
Sr1 Sr 0.877 0.374 0.374
Sr2 Sr 0.374 0.374 0.374
Sr3 Sr 0.374 0.374 0.877
Sr4 Sr 0.374 0.877 0.374
Ba1 Ba 0.750 0.750 0.750
Mn1 Mn 0.000 0.000 0.000
```

Values from the calculation:
Formation energy from the elements, meV/atom: 563
Total energy, eV per atom: -2.407

No. 13
BaSr2Mn: optimized geometry, GGA-PBE.

Structure (CIF):
```
data_BaSr2Mn
_chemical_formula_sum 'Ba1 Sr2 Mn1'
_space_group_name_H-M_alt 'P 1'
_space_group_IT_number 1
_space_group_name_Hall 'P 1'
_cell_length_a 4.128
_cell_length_b 4.128
_cell_length_c 10.243
_cell_angle_alpha 90.00
_cell_angle_beta 90.00
_cell_angle_gamma 90.00
loop_
_atom_site_label
_atom_site_type_symbol
_atom_site_fract_x
_atom_site_fract_y
_atom_site_fract_z
Sr1 Sr 0.500 0.500 0.240
Sr2 Sr 0.000 0.000 0.938
Mn1 Mn 0.500 0.500 0.759
Ba1 Ba 0.000 0.000 0.562
```

Values from the calculation:
Formation energy from the elements, meV/atom: 318
Excess energy over the best structure of this formula in the dataset, meV per atom: 0
Total energy, eV per atom: -3.296

No. 14
BaSr2Mn: optimized geometry, GGA-PBE.

Structure (CIF):
```
data_BaSr2Mn
_chemical_formula_sum 'Ba1 Sr2 Mn1'
_space_group_name_H-M_alt 'P 1'
_space_group_IT_number 1
_space_group_name_Hall 'P 1'
_cell_length_a 7.420
_cell_length_b 7.420
_cell_length_c 3.978
_cell_angle_alpha 77.97
_cell_angle_beta 77.97
_cell_angle_gamma 118.10
loop_
_atom_site_label
_atom_site_type_symbol
_atom_site_fract_x
_atom_site_fract_y
_atom_site_fract_z
Sr1 Sr 0.000 0.000 0.000
Sr2 Sr 0.500 0.500 0.000
Mn1 Mn 0.000 0.500 0.500
Ba1 Ba 0.500 0.000 0.500
```

Values from the calculation:
Formation energy from the elements, meV/atom: 523
Excess energy over the best structure of this formula in the dataset, meV per atom: 205
Total energy, eV per atom: -3.091

No. 15
BaSrMn3: optimized geometry, GGA-PBE.

Structure (CIF):
```
data_BaSrMn3
_chemical_formula_sum 'Ba1 Sr1 Mn3'
_space_group_name_H-M_alt 'P 1'
_space_group_IT_number 1
_space_group_name_Hall 'P 1'
_cell_length_a 5.621
_cell_length_b 5.621
_cell_length_c 5.621
_cell_angle_alpha 90.00
_cell_angle_beta 90.00
_cell_angle_gamma 90.00
loop_
_atom_site_label
_atom_site_type_symbol
_atom_site_fract_x
_atom_site_fract_y
_atom_site_fract_z
Mn1 Mn 0.500 0.000 0.000
Mn2 Mn 0.000 0.500 0.000
Mn3 Mn 0.000 0.000 0.500
Ba1 Ba 0.500 0.500 0.500
Sr1 Sr 0.000 0.000 0.000
```

Values from the calculation:
Formation energy from the elements, meV/atom: 1331
Excess energy over the best structure of this formula in the dataset, meV per atom: 0
Total energy, eV per atom: -4.891

No. 16
BaSrMn: optimized geometry, GGA-PBE.

Structure (CIF):
```
data_BaSrMn
_chemical_formula_sum 'Ba1 Sr1 Mn1'
_space_group_name_H-M_alt 'P 1'
_space_group_IT_number 1
_space_group_name_Hall 'P 1'
_cell_length_a 5.733
_cell_length_b 5.733
_cell_length_c 5.733
_cell_angle_alpha 60.00
_cell_angle_beta 60.00
_cell_angle_gamma 60.00
loop_
_atom_site_label
_atom_site_type_symbol
_atom_site_fract_x
_atom_site_fract_y
_atom_site_fract_z
Mn1 Mn 0.750 0.750 0.750
Ba1 Ba 0.500 0.500 0.500
Sr1 Sr 0.000 0.000 0.000
```

Values from the calculation:
Formation energy from the elements, meV/atom: 589
Excess energy over the best structure of this formula in the dataset, meV per atom: 167
Total energy, eV per atom: -3.669

No. 17
BaSrMn3: optimized geometry, GGA-PBE.

Structure (CIF):
```
data_BaSrMn3
_chemical_formula_sum 'Ba1 Sr1 Mn3'
_space_group_name_H-M_alt 'P 1'
_space_group_IT_number 1
_space_group_name_Hall 'P 1'
_cell_length_a 5.607
_cell_length_b 5.607
_cell_length_c 5.607
_cell_angle_alpha 90.00
_cell_angle_beta 90.00
_cell_angle_gamma 90.00
loop_
_atom_site_label
_atom_site_type_symbol
_atom_site_fract_x
_atom_site_fract_y
_atom_site_fract_z
Mn1 Mn 0.000 0.500 0.000
Mn2 Mn 0.000 0.000 0.500
Mn3 Mn 0.500 0.000 0.000
Sr1 Sr 0.500 0.500 0.500
Ba1 Ba 0.000 0.000 0.000
```

Values from the calculation:
Formation energy from the elements, meV/atom: 1420
Excess energy over the best structure of this formula in the dataset, meV per atom: 89
Total energy, eV per atom: -4.803

No. 18
Ba2SrTaMn: optimized geometry, GGA-PBE.

Structure (CIF):
```
data_Ba2SrTaMn
_chemical_formula_sum 'Ba2 Sr1 Ta1 Mn1'
_space_group_name_H-M_alt 'P 1'
_space_group_IT_number 1
_space_group_name_Hall 'P 1'
_cell_length_a 5.594
_cell_length_b 5.769
_cell_length_c 5.594
_cell_angle_alpha 90.00
_cell_angle_beta 90.00
_cell_angle_gamma 90.00
loop_
_atom_site_label
_atom_site_type_symbol
_atom_site_fract_x
_atom_site_fract_y
_atom_site_fract_z
Sr1 Sr 0.000 0.500 0.000
Ba1 Ba 0.500 0.000 0.000
Ba2 Ba 0.000 0.000 0.500
Ta1 Ta 0.500 0.500 0.500
Mn1 Mn 0.000 0.000 0.000
```

Values from the calculation:
Formation energy from the elements, meV/atom: 1638
Total energy, eV per atom: -3.672

No. 19
BaSrMnTe2: optimized geometry, GGA-PBE.

Structure (CIF):
```
data_BaSrMnTe2
_chemical_formula_sum 'Ba1 Sr1 Mn1 Te2'
_space_group_name_H-M_alt 'P 1'
_space_group_IT_number 1
_space_group_name_Hall 'P 1'
_cell_length_a 6.349
_cell_length_b 6.970
_cell_length_c 6.349
_cell_angle_alpha 90.00
_cell_angle_beta 90.00
_cell_angle_gamma 90.00
loop_
_atom_site_label
_atom_site_type_symbol
_atom_site_fract_x
_atom_site_fract_y
_atom_site_fract_z
Sr1 Sr 0.000 0.500 0.000
Te1 Te 0.000 0.000 0.500
Te2 Te 0.500 0.000 0.000
Ba1 Ba 0.000 0.000 0.000
Mn1 Mn 0.500 0.500 0.500
```

Values from the calculation:
Formation energy without anion corrections, eV per atom: 0.561
Total energy, eV per atom: -3.251

No. 20
BaSrYMn2: optimized geometry, GGA-PBE.

Structure (CIF):
```
data_BaSrYMn2
_chemical_formula_sum 'Ba1 Sr1 Y1 Mn2'
_space_group_name_H-M_alt 'P 1'
_space_group_IT_number 1
_space_group_name_Hall 'P 1'
_cell_length_a 5.164
_cell_length_b 5.669
_cell_length_c 5.164
_cell_angle_alpha 90.00
_cell_angle_beta 90.00
_cell_angle_gamma 90.00
loop_
_atom_site_label
_atom_site_type_symbol
_atom_site_fract_x
_atom_site_fract_y
_atom_site_fract_z
Y1 Y 0.000 0.500 0.000
Sr1 Sr 0.000 0.000 0.000
Mn1 Mn 0.000 0.000 0.500
Mn2 Mn 0.500 0.000 0.000
Ba1 Ba 0.500 0.500 0.500
```

Values from the calculation:
Formation energy from the elements, meV/atom: 1929
Total energy, eV per atom: -3.753